BP2RuCl | PBE-GGA | optimized geometry

Summary:
- energy above the most stable polymorph in this dataset (meV/atom) = 207
- final energy (eV/cell) = -22.6
- crystal system = tetragonal
- size of the total moment (μB per formula unit) = 0.00
- calculated volume (Å³ per cell) = 103.9

abc: 4.479 4.479 5.177
angles: 90.00 90.00 90.00
Fractional coordinates of all 5 atoms:
Cl 0.000 0.000 0.500
P 0.000 0.500 0.000
Ru 0.000 0.000 0.000
P 0.500 0.000 0.000
B 0.500 0.500 0.500

=====

BPRuCl2 | PBE-GGA | optimized geometry

Summary:
- energy above the most stable polymorph in this dataset (meV/atom) = 0
- final energy (eV/cell) = -19.8
- crystal system = tetragonal
- size of the total moment (μB per formula unit) = 0.00
- calculated volume (Å³ per cell) = 108.9

abc: 4.957 4.957 4.432
angles: 90.00 90.00 90.00
Fractional coordinates of all 5 atoms:
Cl 0.500 0.000 0.000
Ru 0.000 0.000 0.000
B 0.500 0.500 0.500
P 0.000 0.000 0.500
Cl 0.000 0.500 0.000

=====

BP2RuCl | PBE-GGA | optimized geometry

Summary:
- energy above the most stable polymorph in this dataset (meV/atom) = 0
- final energy (eV/cell) = -23.6
- crystal system = tetragonal
- size of the total moment (μB per formula unit) = 0.00
- calculated volume (Å³ per cell) = 69.1

abc: 3.997 3.997 4.324
angles: 90.00 90.00 90.00
Fractional coordinates of all 5 atoms:
P 0.000 0.500 0.000
Ru 0.500 0.500 0.500
P 0.500 0.000 0.000
Cl 0.000 0.000 0.500
B 0.000 0.000 0.000

=====

BP2SCl | PBE-GGA | optimized geometry

Summary:
- energy above the most stable polymorph in this dataset (meV/atom) = 728
- final energy (eV/cell) = -15.1
- crystal system = tetragonal
- size of the total moment (μB per formula unit) = 0.81
- calculated volume (Å³ per cell) = 102.9

abc: 4.573 4.573 4.923
angles: 90.00 90.00 90.00
Last column: magnetic moment on the atom in μB.
Fractional coordinates of all 5 atoms:
Cl 0.000 0.000 0.500  0.11
P 0.000 0.500 0.000  0.16
P 0.500 0.000 0.000  0.16
B 0.500 0.500 0.500  -0.01
S 0.000 0.000 0.000  0.00

=====

BP2SCl | PBE-GGA | optimized geometry

Summary:
- energy above the most stable polymorph in this dataset (meV/atom) = 8
- final energy (eV/cell) = -18.7
- crystal system = tetragonal
- size of the total moment (μB per formula unit) = 0.00
- calculated volume (Å³ per cell) = 75.0

abc: 4.310 4.310 4.036
angles: 90.00 90.00 90.00
Fractional coordinates of all 5 atoms:
P 0.000 0.500 0.000
Cl 0.000 0.000 0.500
P 0.500 0.000 0.000
B 0.000 0.000 0.000
S 0.500 0.500 0.500

=====

BP2SCl | PBE-GGA | optimized geometry

Summary:
- energy above the most stable polymorph in this dataset (meV/atom) = 1203
- final energy (eV/cell) = -12.7
- crystal system = tetragonal
- size of the total moment (μB per formula unit) = 0.80
- calculated volume (Å³ per cell) = 103.1

abc: 4.582 4.582 4.909
angles: 90.00 90.00 90.00
Last column: magnetic moment on the atom in μB.
Fractional coordinates of all 5 atoms:
P 0.000 0.500 0.000  0.16
P 0.500 0.000 0.000  0.16
S 0.000 0.000 0.500  0.06
B 0.500 0.500 0.500  0.00
Cl 0.000 0.000 0.000  0.01

=====

BP2SCl | PBE-GGA | optimized geometry

Summary:
- energy above the most stable polymorph in this dataset (meV/atom) = 0
- final energy (eV/cell) = -18.7
- crystal system = tetragonal
- size of the total moment (μB per formula unit) = 0.00
- calculated volume (Å³ per cell) = 76.4

abc: 4.316 4.316 4.101
angles: 90.00 90.00 90.00
Fractional coordinates of all 5 atoms:
P 0.500 0.000 0.000
S 0.000 0.000 0.500
Cl 0.500 0.500 0.500
P 0.000 0.500 0.000
B 0.000 0.000 0.000

=====

BSbPCl2 | PBE-GGA | optimized geometry

Summary:
- energy above the most stable polymorph in this dataset (meV/atom) = 555
- final energy (eV/cell) = -14.5
- crystal system = tetragonal
- size of the total moment (μB per formula unit) = 0.66
- calculated volume (Å³ per cell) = 145.7

abc: 5.223 5.223 5.341
angles: 90.00 90.00 90.00
Last column: magnetic moment on the atom in μB.
Fractional coordinates of all 5 atoms:
P 0.000 0.000 0.500  0.36
B 0.500 0.500 0.500  -0.09
Cl 0.000 0.500 0.000  0.02
Sb 0.000 0.000 0.000  -0.01
Cl 0.500 0.000 0.000  0.02

=====

BSbP2Cl | PBE-GGA | optimized geometry

Summary:
- energy above the most stable polymorph in this dataset (meV/atom) = 0
- final energy (eV/cell) = -20.1
- crystal system = tetragonal
- size of the total moment (μB per formula unit) = 0.00
- calculated volume (Å³ per cell) = 81.5

abc: 4.379 4.379 4.248
angles: 90.00 90.00 90.00
Fractional coordinates of all 5 atoms:
Sb 0.500 0.500 0.500
B 0.000 0.000 0.000
Cl 0.000 0.000 0.500
P 0.500 0.000 0.000
P 0.000 0.500 0.000

=====

BSbP2Cl | PBE-GGA | optimized geometry

Summary:
- energy above the most stable polymorph in this dataset (meV/atom) = 944
- final energy (eV/cell) = -15.4
- crystal system = tetragonal
- size of the total moment (μB per formula unit) = 1.05
- calculated volume (Å³ per cell) = 138.5

abc: 5.132 5.132 5.260
angles: 90.00 90.00 90.00
Last column: magnetic moment on the atom in μB.
Fractional coordinates of all 5 atoms:
Cl 0.000 0.000 0.500  0.06
P 0.500 0.000 0.000  0.24
B 0.500 0.500 0.500  -0.03
P 0.000 0.500 0.000  0.24
Sb 0.000 0.000 0.000  -0.01

=====

BSbPCl2 | PBE-GGA | optimized geometry

Summary:
- energy above the most stable polymorph in this dataset (meV/atom) = 0
- final energy (eV/cell) = -17.3
- crystal system = tetragonal
- size of the total moment (μB per formula unit) = 0.00
- calculated volume (Å³ per cell) = 87.0

abc: 4.304 4.304 4.696
angles: 90.00 90.00 90.00
Fractional coordinates of all 5 atoms:
P 0.000 0.000 0.500
Cl 0.500 0.000 0.000
Sb 0.500 0.500 0.500
B 0.000 0.000 0.000
Cl 0.000 0.500 0.000

=====

ScBP2Cl | PBE-GGA | optimized geometry

Summary:
- energy above the most stable polymorph in this dataset (meV/atom) = 778
- final energy (eV/cell) = -21.3
- crystal system = tetragonal
- size of the total moment (μB per formula unit) = 0.68
- calculated volume (Å³ per cell) = 123.7

abc: 5.018 5.018 4.913
angles: 90.00 90.00 90.00
Last column: magnetic moment on the atom in μB.
Fractional coordinates of all 5 atoms:
Sc 0.000 0.000 0.000  0.00
P 0.500 0.000 0.000  0.13
P 0.000 0.500 0.000  0.13
B 0.500 0.500 0.500  -0.01
Cl 0.000 0.000 0.500  0.08